[1]
First-principles (PBE) data for an optimized crystal structure of Hf6OsC, as listed in Alexandria.

POSCAR file:
```
Hf6OsC
1.0
5.772 0.002 -0.014
2.875 5.024 0.006
2.857 1.674 5.634
Hf C Os
6 1 1
direct
0.780 0.044 0.764
0.952 0.591 0.235
0.048 0.409 0.765
0.220 0.956 0.236
0.592 0.223 0.233
0.408 0.777 0.767
0.000 0.000 0.000
0.500 0.500 0.500
```

formation enthalpy at 0 K: -0.15 eV/atom
Fermi-level density of states: 8.18 states/eV/cell
E_tot: -10.1693 eV per atom

[2]
First-principles (PBE) data for an optimized crystal structure of BeFeSeBr2, as listed in Alexandria.

POSCAR file:
```
BeFeSeBr2
1.0
-1.033 4.713 1.382
-2.270 0.794 -4.406
-3.885 -1.366 1.756
Fe Be Br Se
1 1 2 1
direct
0.000 0.000 0.000
0.500 0.500 0.500
0.000 0.500 0.000
0.500 0.000 0.000
0.000 0.000 0.500
```

E above lowest polymorph: 1.15 eV per formula unit
Fermi-level density of states: 4.78 states/eV/cell
E_tot: -3.2139 eV per atom
formation energy without anion corrections: 0.5899 eV per atom

[3]
First-principles (PBE) data for an optimized crystal structure of YRe2AgO8, as listed in Alexandria.

POSCAR file:
```
YRe2AgO8
1.0
-2.445 5.112 -2.730
-3.783 -4.233 2.707
0.448 3.326 5.828
O Re Ag Y
8 2 1 1
direct
0.647 0.823 0.681
0.667 0.333 0.981
0.823 0.177 0.319
0.177 0.823 0.681
0.333 0.667 0.019
0.177 0.353 0.681
0.353 0.177 0.319
0.823 0.647 0.319
0.667 0.333 0.240
0.333 0.667 0.760
0.000 0.000 0.000
0.000 0.000 0.500
```

Fermi-level density of states: 4.74 states/eV/cell
E_tot: -7.8518 eV per atom
formation energy without anion corrections: -1.6953 eV per atom

- Fermi-level density of states of number 1 (Hf6OsC)?
  8.18 states/eV/cell

- The highest E_tot belongs to which entry?
  BeFeSeBr2

- Which of these has the lowest E_tot?
  Hf6OsC

- Number 2 is which compound?
  BeFeSeBr2